This record from Alexandria describes an optimized crystal structure of V3GeF. The functional is GGA+U.

It has space group Pm-3m (No. 221), with a = 4.051 Å, b = 4.051 Å, c = 4.051 Å, α = 90.00°, β = 90.00° and γ = 90.00°. Symmetry generates all atoms from V at (0.000, 0.000, 0.500), Ge at (0.500, 0.500, 0.500) and F at (0.000, 0.000, 0.000).

The value obtained for the energy above the most stable polymorph in this dataset is 0 meV per atom.